# TcMo4Br

An optimized crystal structure of TcMo4Br (PBE, the Alexandria database).

Values from the calculation:
The density of states at the Fermi level is 6.63 states/eV per cell. For the energy relative to the elements, uncorrected, the calculation gives 0.931 eV per atom. The calculation puts the magnetic moment at 0.17 μB per atom.

Unit cell a=5.2607 b=5.2607 c=5.2607 alpha=60.00 beta=60.00 gamma=60.00
Closest atoms and distances in Å follow each position.
Element x y z (fractional)
Tc1 0.0000 0.0000 0.0000  12 Mo 3.08, 4 Br 3.22
Mo1 0.1255 0.6248 0.6248  6 Mo 2.63
Mo2 0.6248 0.1255 0.6248  6 Mo 2.63
Mo3 0.6248 0.6248 0.1255  6 Mo 2.63
Mo4 0.6248 0.6248 0.6248  6 Mo 2.63
Br1 0.2500 0.2500 0.2500  12 Mo 3.08, 4 Tc 3.22

---

# HoEr12Tm7

An optimized crystal structure of HoEr12Tm7 (PBE, the Alexandria database).

Values from the calculation:
The density of states at the Fermi level is 28.90 states/eV per cell. The calculation puts the formation enthalpy at 0 K at 0.35 eV per atom. The calculation puts the magnetic moment at 0.00 μB per atom. The energy above the most stable polymorph in this dataset comes out at 31 meV per atom.

Unit cell a=10.8027 b=10.8027 c=10.8027 alpha=115.99 beta=115.99 gamma=115.99
Closest atoms and distances in Å follow each position.
Element x y z (fractional)
Ho1 0.0000 0.0000 0.0000  8 Tm 3.14-3.29
Er1 0.0709 0.4936 0.2835  4 Er 3.19-3.38, 3 Tm 3.36-3.48
Er2 0.2052 0.2673 0.7462  2 Tm 3.15-3.24, 5 Er 3.19-3.38
Er3 0.2538 0.7948 0.7327  2 Tm 3.15-3.24, 5 Er 3.19-3.38
Er4 0.2673 0.7462 0.2052  2 Tm 3.15-3.24, 5 Er 3.19-3.38
Er5 0.2835 0.0709 0.4936  4 Er 3.19-3.38, 3 Tm 3.36-3.48
Er6 0.4936 0.2835 0.0709  4 Er 3.19-3.38, 3 Tm 3.36-3.48
Er7 0.5064 0.7165 0.9291  4 Er 3.19-3.38, 3 Tm 3.36-3.48
Er8 0.7165 0.9291 0.5064  4 Er 3.19-3.38, 3 Tm 3.36-3.48
Er9 0.7327 0.2538 0.7948  2 Tm 3.15-3.24, 5 Er 3.19-3.38
Er10 0.7462 0.2052 0.2673  2 Tm 3.15-3.24, 5 Er 3.19-3.38
Er11 0.7948 0.7327 0.2538  2 Tm 3.15-3.24, 5 Er 3.19-3.38
Er12 0.9291 0.5064 0.7165  4 Er 3.19-3.38, 3 Tm 3.36-3.48
Tm1 0.0714 0.2098 0.3752  1 Ho 3.14, 5 Er 3.15-3.48, 1 Tm 3.34
Tm2 0.2098 0.3752 0.0714  1 Ho 3.14, 5 Er 3.15-3.48, 1 Tm 3.34
Tm3 0.3752 0.0714 0.2098  1 Ho 3.14, 5 Er 3.15-3.48, 1 Tm 3.34
Tm4 0.5000 0.5000 0.5000  2 Ho 3.29, 6 Tm 3.34
Tm5 0.6248 0.9286 0.7902  1 Ho 3.14, 5 Er 3.15-3.48, 1 Tm 3.34
Tm6 0.7902 0.6248 0.9286  1 Ho 3.14, 5 Er 3.15-3.48, 1 Tm 3.34
Tm7 0.9286 0.7902 0.6248  1 Ho 3.14, 5 Er 3.15-3.48, 1 Tm 3.34

---

# CaSc3As

An optimized crystal structure of CaSc3As (PBE, the Alexandria database).

Values from the calculation:
The density of states at the Fermi level is 5.30 states/eV per cell. The calculation puts the formation enthalpy at 0 K at 1.15 eV per atom. The calculation puts the magnetic moment at 0.00 μB per atom. The energy above the most stable polymorph in this dataset comes out at 1442 meV per atom.

Unit cell a=5.0878 b=5.0878 c=5.0878 alpha=90.00 beta=90.00 gamma=90.00
Closest atoms and distances in Å follow each position.
Element x y z (fractional)
Ca1 0.0000 0.0000 0.0000  6 Sc 2.54
Sc1 0.0000 0.0000 0.5000  2 Ca 2.54
Sc2 0.0000 0.5000 0.0000  2 Ca 2.54
Sc3 0.5000 0.0000 0.0000  2 Ca 2.54
As1 0.5000 0.5000 0.5000  12 Sc 3.60

---

> Among the records above, which one has the highest density of states at the Fermi level?

HoEr12Tm7

---

> What is the formula in the second record?

HoEr12Tm7